# 1
Below is an optimized crystal structure of Ta2NbZnH, with properties calculated at the GGA-PBE level.

Cell and atoms, written as extended XYZ:
```
5
Lattice="3.980 0.000 0.000 0.000 3.980 0.000 0.000 0.000 4.560" Properties=species:S:1:pos:R:3 pbc="T T T"
Ta 0.000 1.990 0.000
Ta 1.990 0.000 0.000
Nb 0.000 0.000 2.280
Zn 1.990 1.990 2.280
H 1.990 1.990 0.000
```

Summary:
VASP energy	-38.3	eV/cell
space-group type	P4/mmm

---

# 2
Below is an optimized crystal structure of SrZn9Cd2, with properties calculated at the GGA-PBE level.

Cell and atoms, written as extended XYZ:
```
12
Lattice="2.703 1.561 8.473 -2.703 1.561 8.473 0.000 -3.121 8.473" Properties=species:S:1:pos:R:3 pbc="T T T"
Sr 0.000 0.000 0.000
Zn -1.370 -0.791 10.657
Zn 0.000 0.000 8.476
Zn 0.000 -1.581 14.762
Zn -1.370 0.791 14.762
Zn 0.000 0.000 12.710
Zn 1.370 -0.791 10.657
Zn 0.000 1.581 10.657
Zn 0.000 0.000 16.943
Zn 1.370 0.791 14.762
Cd 0.000 0.000 3.542
Cd 0.000 0.000 21.877
```

Summary:
VASP energy	-16.1	eV/cell
space-group type	R-3m

---

# 3
Below is an optimized crystal structure of CSeI2F, with properties calculated at the GGA-PBE level.

Cell and atoms, written as extended XYZ:
```
5
Lattice="5.108 0.000 0.000 0.000 5.108 0.000 0.000 0.000 3.911" Properties=species:S:1:pos:R:3 pbc="T T T"
C 0.000 0.000 0.000
Se 2.554 2.554 1.955
I 0.000 2.554 0.000
I 2.554 0.000 0.000
F 0.000 0.000 1.955
```

Summary:
space-group type	P4/mmm
E_form (uncorrected)	84	kJ per mole of atoms

---

# 4
Below is an optimized crystal structure of CdOsPbN2, with properties calculated at the GGA-PBE level.

Cell and atoms, written as extended XYZ:
```
5
Lattice="4.240 0.000 0.000 0.000 4.240 0.000 0.000 0.000 5.465" Properties=species:S:1:pos:R:3 pbc="T T T"
Cd 0.000 0.000 0.000
Os 0.000 0.000 2.733
Pb 2.120 2.120 2.733
N 0.000 2.120 0.000
N 2.120 0.000 0.000
```

Summary:
space-group type	P4/mmm
E_form (uncorrected)	220	kJ per mole of atoms

---

# 5
Below is an optimized crystal structure of Ac2Bi4Pb, with properties calculated at the GGA-PBE level.

Cell and atoms, written as extended XYZ:
```
7
Lattice="4.687 0.000 0.000 0.000 4.687 0.000 0.000 0.000 12.085" Properties=species:S:1:pos:R:3 pbc="T T T"
Ac 0.000 2.343 2.712
Ac 2.343 0.000 9.373
Bi 0.000 0.000 0.000
Bi 0.000 2.343 8.297
Bi 2.343 0.000 3.788
Bi 2.343 2.343 0.000
Pb 0.000 0.000 6.042
```

Summary:
VASP energy	-31.2	eV/cell
space-group type	P-4m2

---

# 6
Below is an optimized crystal structure of Rb3Ac3HoSe8, with properties calculated at the GGA-PBE level.

Cell and atoms, written as extended XYZ:
```
15
Lattice="7.833 -4.519 0.000 7.833 4.519 0.000 -5.230 0.000 8.119" Properties=species:S:1:pos:R:3 pbc="T T T"
Rb 0.000 0.000 0.000
Rb 3.917 2.259 0.000
Rb 3.917 -2.259 0.000
Ac 1.301 2.259 4.060
Ac 1.301 -2.259 4.060
Ac 5.218 0.000 4.060
Ho -2.615 0.000 4.060
Se -0.177 0.000 5.632
Se 3.999 2.410 5.632
Se 6.437 2.410 2.487
Se 2.608 0.000 2.361
Se 7.828 0.000 5.758
Se 3.999 -2.410 5.632
Se 6.437 -2.410 2.487
Se 10.613 0.000 2.487
```

Summary:
space-group type	C2/m
E_form (uncorrected)	-163	kJ per mole of atoms

---

# 7
Below is an optimized crystal structure of Mn3AlGe, with properties calculated at the GGA-PBE level.

Cell and atoms, written as extended XYZ:
```
5
Lattice="4.702 0.000 0.000 0.000 4.702 0.000 0.000 0.000 4.702" Properties=species:S:1:pos:R:3 pbc="T T T"
Mn 0.000 0.000 2.351
Mn 0.000 2.351 0.000
Mn 2.351 0.000 0.000
Al 0.000 0.000 0.000
Ge 2.351 2.351 2.351
```

Summary:
VASP energy	-31.4	eV/cell
space-group type	Pm-3m

---

# 8
Below is an optimized crystal structure of Na2In2As, with properties calculated at the GGA-PBE level.

Cell and atoms, written as extended XYZ:
```
5
Lattice="-2.082 2.082 7.627 2.082 -2.082 7.627 2.082 2.082 -7.627" Properties=species:S:1:pos:R:3 pbc="T T T"
Na 2.082 0.000 3.813
Na 0.000 2.082 3.813
In 0.000 0.000 1.385
In 0.000 0.000 13.868
As 0.000 0.000 7.627
```

Summary:
VASP energy	-12.2	eV/cell
space-group type	I4/mmm

---

# 9
Below is an optimized crystal structure of Li3CaZr, with properties calculated at the GGA-PBE level.

Cell and atoms, written as extended XYZ:
```
5
Lattice="5.312 0.000 0.000 0.000 5.312 0.000 0.000 0.000 5.312" Properties=species:S:1:pos:R:3 pbc="T T T"
Li 0.000 0.000 2.656
Li 0.000 2.656 0.000
Li 2.656 0.000 0.000
Ca 2.656 2.656 2.656
Zr 0.000 0.000 0.000
```

Summary:
VASP energy	-12.0	eV/cell
space-group type	Pm-3m

---

# 10
Below is an optimized crystal structure of Tb2Sc3Ni2, with properties calculated at the GGA-PBE level.

Cell and atoms, written as extended XYZ:
```
7
Lattice="5.806 -1.718 0.000 5.806 1.718 0.000 -3.681 0.000 7.732" Properties=species:S:1:pos:R:3 pbc="T T T"
Tb 0.741 0.000 2.347
Tb 7.189 0.000 5.385
Sc 4.183 0.000 0.534
Sc 3.965 0.000 3.866
Sc 3.748 0.000 7.198
Ni -0.790 0.000 5.691
Ni 8.720 0.000 2.040
```

Summary:
VASP energy	-41.7	eV/cell
space-group type	C2/m

---

# 11
Below is an optimized crystal structure of TbPaSn2O8, with properties calculated at the GGA-PBE level.

Cell and atoms, written as extended XYZ:
```
12
Lattice="-3.604 3.604 3.492 3.604 -3.604 3.492 3.604 3.604 -3.492" Properties=species:S:1:pos:R:3 pbc="T T T"
Tb 0.000 0.000 0.000
Pa 3.604 0.000 1.746
Sn 0.000 0.000 3.492
Sn 0.000 3.604 1.746
O 2.205 3.604 -1.382
O 1.399 0.000 2.110
O 0.000 2.275 0.294
O 3.604 2.205 1.382
O 0.000 4.934 0.294
O 0.000 1.399 4.874
O -1.329 3.604 3.198
O 1.329 3.604 3.198
```

Summary:
space-group type	I-4m2
E_form (uncorrected)	-237	kJ per mole of atoms

---

# 12
Below is an optimized crystal structure of Np2TiO8, with properties calculated at the GGA-PBE level.

Cell and atoms, written as extended XYZ:
```
11
Lattice="3.055 -5.342 0.000 3.055 5.342 0.000 -1.862 0.000 4.391" Properties=species:S:1:pos:R:3 pbc="T T T"
Np 3.055 3.556 0.000
Np 3.055 -3.556 0.000
Ti 2.124 0.000 2.196
O -0.098 1.554 3.819
O 0.437 0.000 1.226
O 2.124 1.841 2.196
O -0.098 -1.554 3.819
O 4.347 1.554 0.573
O 2.124 -1.841 2.196
O 3.811 0.000 3.165
O 4.347 -1.554 0.573
```

Summary:
space-group type	C2/m
E_form (uncorrected)	-227	kJ per mole of atoms

---

| no. | total magnetic moment (Bohr magnetons per cell) |
| --- | --- |
| 1 | 0.0 |
| 2 | 0.0 |
| 3 | 0.0 |
| 4 | 4.9 |
| 5 | 0.0 |
| 6 | 0.0 |
| 7 | 11.0 |
| 8 | 0.0 |
| 9 | 3.3 |
| 10 | 0.0 |
| 11 | 0.0 |
| 12 | 2.0 |